Entry 1:
Computed, not measured: a relaxed structure of SrB3C at the GGA-PBE level of DFT.

## Properties
* E above lowest polymorph: 2251 meV per atom
* formation energy: 4.153 eV/atom
* crystal system: cubic
* total magnetization: 0.0 μB per cell
* Fermi-level density of states: 4.5 states/eV per cell

Cell: 4.9456 4.9456 4.9456 Å, 90.00 90.00 90.00°
Fractional coordinates of all 5 atoms:
Sr: 0.0000 0.0000 0.0000
B: 0.5000 0.0000 0.0000
B: 0.0000 0.5000 0.0000
C: 0.5000 0.5000 0.5000
B: 0.0000 0.0000 0.5000

Entry 2:
Computed, not measured: a relaxed structure of SrB2C at the GGA-PBE level of DFT.

## Properties
* formation energy: 0.721 eV/atom
* crystal system: tetragonal
* total magnetization: 0.0 μB per cell
* Fermi-level density of states: 1.9 states/eV per cell

Cell: 3.9965 3.9965 6.5306 Å, 72.18 72.18 90.00°
Fractional coordinates of all 8 atoms:
C: 0.2500 0.7500 0.5000
B: 0.3750 0.6250 0.2500
B: 0.3750 0.6250 0.7500
Sr: 0.7500 0.2500 0.5000
B: 0.3750 0.1250 0.2500
B: 0.8750 0.6250 0.7500
C: 0.5000 0.5000 0.0000
Sr: 0.0000 0.0000 0.0000